Li2BeBr: optimized geometry, PBE.

Cell lengths 5.9817, 5.9817, 5.9817 Å; angles 108.97, 108.97, 110.47 degrees
Closest atoms and distances in Å follow each position.
Sites, in units of the cell vectors:
Li (0.1057, 0.6250, 0.9807)  2 Br 2.51, 2 Be 2.69
Li (0.3750, 0.3557, 0.4807)  2 Br 2.51, 2 Be 2.69
Li (0.6443, 0.1250, 0.0193)  2 Br 2.51, 2 Be 2.69
Li (0.8750, 0.8943, 0.5193)  2 Br 2.51, 2 Be 2.69
Be (0.2500, 0.7500, 0.5000)  4 Li 2.69
Be (0.5000, 0.5000, 0.0000)  4 Li 2.69
Br (0.0000, 0.0000, 0.0000)  4 Li 2.51
Br (0.7500, 0.2500, 0.5000)  4 Li 2.51

Computed properties:
The calculated volume is 165 Å³/cell. The total energy is -18.60 eV for the cell shown. The calculation puts the formation energy from raw total energies at -19 meV/atom.